Sm5TlSn4 (PBE, optimized geometry); calculated total energy = -46.790 eV per cell; formation energy from the elements = -482 meV per atom; crystal system = tetragonal
1.0
6.390 0.000 0.000
3.195 7.035 0.000
3.195 0.000 7.035
Sm Sn Tl
5 4 1
direct
0.872 0.413 0.784
0.655 0.216 0.413
0.069 0.587 0.216
0.285 0.784 0.587
0.616 0.000 0.000
0.181 0.183 0.396
0.363 0.396 0.817
0.759 0.817 0.604
0.576 0.604 0.183
0.134 0.000 0.000